Entry from Alexandria via LeMat-Bulk: a geometry-optimized LaCd2In structure (PBE-GGA). Values from VASP.

Geometry as Quantum ESPRESSO input:
```
&SYSTEM
  ibrav = 0, nat = 4, ntyp = 3
/
ATOMIC_SPECIES
Cd 112.41 Cd.upf
La 138.91 La.upf
In 114.82 In.upf
CELL_PARAMETERS angstrom
6.1077 -0.0003 -0.0010
-2.8993 5.8726 0.0076
0.3092 0.8416 3.0362
ATOMIC_POSITIONS angstrom
Cd 3.2085 0.4206 1.5176
Cd 0.0000 0.0000 0.0000
La 1.6042 2.9362 0.0033
In -1.2951 3.3571 1.5219
```

Summary:
The space group is C2/m, No. 12. For the energy, the calculation gives -10.06 eV per cell. As for the density of states at the Fermi level: 3.91 states/eV/cell.